Record 1
VASP calculation (PBE-GGA) on CrCoBr2 after structural relaxation.

For the relative energy among the computed polymorphs, the calculation gives 377.1 meV per atom. The calculation puts the total moment at 6.4 μB/f.u. As for the crystal system: monoclinic.

It has space group P2/m (No. 10), with a = 3.831 Å, b = 3.830 Å, c = 6.103 Å, α = 90.00°, β = 93.55° and γ = 90.00°. The inequivalent atoms are Cr at (0.000, 0.000, 0.000), Co at (0.500, 0.000, 0.500) and Br at (0.285, 0.500, 0.260).

Record 2
VASP calculation (PBE-GGA) on CrCo2Br after structural relaxation.

For the relative energy among the computed polymorphs, the calculation gives 135.8 meV per atom. The calculation puts the total moment at 6.1 μB/f.u. As for the crystal system: trigonal.

It has space group R3m (No. 160, hexagonal axes), with a = 3.0095 Å, b = 3.0095 Å, c = 24.6952 Å, α = 90.00°, β = 90.00° and γ = 120.00°. The inequivalent atoms are Cr at (0.0000, 0.0000, 0.0000), Co at (0.0000, 0.0000, 0.4724), Co at (0.0000, 0.0000, 0.7406) and Br at (0.0000, 0.0000, 0.2605).

Record 3
VASP calculation (PBE-GGA) on CrCo2Br after structural relaxation.

For the relative energy among the computed polymorphs, the calculation gives 329.8 meV per atom. The calculation puts the total moment at 5.2 μB/f.u. As for the crystal system: tetragonal.

It has space group P4/mmm (No. 123), with a = 4.192 Å, b = 4.192 Å, c = 3.075 Å, α = 90.00°, β = 90.00° and γ = 90.00°. The inequivalent atoms are Cr at (0.000, 0.000, 0.000), Co at (0.000, 0.500, 0.500) and Br at (0.500, 0.500, 0.000).

Record 4
VASP calculation (PBE-GGA) on CrCo2Br after structural relaxation.

For the relative energy among the computed polymorphs, the calculation gives 400.0 meV per atom. The calculation puts the total moment at 2.2 μB/f.u. As for the crystal system: cubic.

It has space group F-43m (No. 216), with a = 5.884 Å, b = 5.884 Å, c = 5.884 Å, α = 90.00°, β = 90.00° and γ = 90.00°. The inequivalent atoms are Cr at (0.000, 0.000, 0.000), Co at (0.000, 0.000, 0.500), Co at (0.250, 0.250, 0.750) and Br at (0.250, 0.250, 0.250).

Record 5
VASP calculation (PBE-GGA) on Cr2CoBr2 after structural relaxation.

For the relative energy among the computed polymorphs, the calculation gives 262.5 meV per atom. The calculation puts the total moment at 1.6 μB/f.u. As for the crystal system: tetragonal.

It has space group I4/mmm (No. 139), with a = 4.521 Å, b = 4.521 Å, c = 9.327 Å, α = 90.00°, β = 90.00° and γ = 90.00°. The inequivalent atoms are Cr at (0.000, 0.000, 0.095), Co at (0.000, 0.000, 0.500) and Br at (0.000, 0.500, 0.250).

Record 6
VASP calculation (PBE-GGA) on Cs2CrCoBr6 after structural relaxation.

The calculation puts the total moment at 5.9 μB/f.u. As for the raw total energy: -3.8114 eV per atom. As for the crystal system: tetragonal.

It has space group I4/mmm (No. 139), with a = 7.498 Å, b = 7.498 Å, c = 10.593 Å, α = 90.00°, β = 90.00° and γ = 90.00°. The inequivalent atoms are Cs at (0.000, 0.500, 0.250), Cr at (0.000, 0.000, 0.000), Co at (0.000, 0.000, 0.500), Br at (0.000, 0.000, 0.250) and Br at (0.249, 0.249, 0.000).

Record 7
VASP calculation (PBE-GGA) on CrIn2CoBr after structural relaxation.

The calculation puts the total moment at 6.0 μB/f.u. As for the raw total energy: -3.8875 eV per atom. As for the crystal system: tetragonal.

It has space group P4/mmm (No. 123), with a = 5.387 Å, b = 5.387 Å, c = 4.894 Å, α = 90.00°, β = 90.00° and γ = 90.00°. The inequivalent atoms are Cr at (0.000, 0.000, 0.000), In at (0.000, 0.500, 0.000), Co at (0.500, 0.500, 0.500) and Br at (0.000, 0.000, 0.500).

Record 8
VASP calculation (PBE-GGA) on CrInCo2Br after structural relaxation.

The calculation puts the total moment at 1.5 μB/f.u. As for the raw total energy: -4.6341 eV per atom. As for the crystal system: tetragonal.

It has space group P4/mmm (No. 123), with a = 4.450 Å, b = 4.450 Å, c = 4.636 Å, α = 90.00°, β = 90.00° and γ = 90.00°. The inequivalent atoms are Cr at (0.000, 0.000, 0.000), In at (0.500, 0.500, 0.500), Co at (0.000, 0.500, 0.000) and Br at (0.000, 0.000, 0.500).